No. 1
The following is a DFT calculation (PBE) of crystalline K2CaAl at its relaxed geometry.

* crystal system: tetragonal
* Fermi-level density of states: 2.61 states/eV/f.u.
* density: 1.528 g/cm3
* energy relative to the elements: 28 kJ per mole of atoms

Unit cell a=7.2397 b=7.2397 c=7.2397 alpha=139.61 beta=139.61 gamma=58.45
Atoms (fractional coordinates):
Ca  0.7500  0.2500  0.5000
K  0.0000  0.0000  0.0000
K  0.5000  0.5000  0.0000
Al  0.2500  0.7500  0.5000

No. 2
The following is a DFT calculation (PBE) of crystalline Ba2Se2S5 at its relaxed geometry.

* ΔE_f (raw): -0.76 eV/atom
* crystal system: monoclinic
* Fermi-level density of states: 2.50 states/eV/f.u.
* density: 3.863 g/cm3

Unit cell a=5.1643 b=7.6971 c=7.2086 alpha=108.09 beta=90.00 gamma=109.60
Atoms (fractional coordinates):
Ba  0.3993  0.7986  0.7137
Ba  0.6007  0.2014  0.2863
Se  0.1404  0.2808  0.8520
Se  0.8596  0.7192  0.1480
S  0.3616  0.7232  0.1270
S  0.6384  0.2768  0.8730
S  0.1582  0.3164  0.5567
S  0.8418  0.6836  0.4433
S  0.0000  0.0000  0.0000

No. 3
The following is a DFT calculation (PBE) of crystalline CaSc2PdN at its relaxed geometry.

* ΔE_f (raw): -0.93 eV/atom
* crystal system: tetragonal
* Fermi-level density of states: 2.79 states/eV/f.u.
* density: 4.474 g/cm3

Unit cell a=4.3273 b=4.3273 c=4.9634 alpha=90.00 beta=90.00 gamma=90.00
Atoms (fractional coordinates):
Sc  0.0000  0.5000  0.0000
Sc  0.5000  0.0000  0.0000
Ca  0.0000  0.0000  0.5000
Pd  0.5000  0.5000  0.5000
N  0.0000  0.0000  0.0000